# 1
Entry from Alexandria via LeMat-Bulk: BaCu2Rh after structural relaxation (GGA-PBEsol).

Computed properties:
- calculated volume (Å³/atom) = 21.06
- ΔH_f (0 K) (eV/atom) = -0.026
- relative energy among the computed polymorphs (meV per atom) = 2.3
- E (eV per atom) = -4.7648
- Fermi-level density of states (states/eV per atom) = 0.554

Cell lengths 4.262, 4.268, 5.881 Å; angles 111.20, 90.00, 119.95 degrees
Element x y z (fractional)
Rh1 0.000 0.000 0.500
Ba1 0.500 0.000 0.000
Cu1 0.687 0.374 0.561
Cu2 0.313 0.626 0.439

***

# 2
Entry from Alexandria via LeMat-Bulk: Ba2CuRh after structural relaxation (GGA-PBEsol).

Computed properties:
- calculated volume (Å³/atom) = 25.61
- ΔH_f (0 K) (eV/atom) = 0.264
- relative energy among the computed polymorphs (meV per atom) = 381.9
- E (eV per atom) = -3.9291
- Fermi-level density of states (states/eV per atom) = 0.314

Cell lengths 4.536, 4.536, 5.921 Å; angles 112.52, 112.52, 90.00 degrees
Element x y z (fractional)
Ba1 0.000 0.000 0.000
Ba2 0.750 0.250 0.500
Cu1 0.500 0.500 0.000
Rh1 0.250 0.750 0.500

***

# 3
Entry from Alexandria via LeMat-Bulk: BaCu2Rh after structural relaxation (GGA-PBEsol).

Computed properties:
- calculated volume (Å³/atom) = 21.25
- ΔH_f (0 K) (eV/atom) = -0.028
- relative energy among the computed polymorphs (meV per atom) = 0.0
- E (eV per atom) = -4.7671
- Fermi-level density of states (states/eV per atom) = 0.502

Cell lengths 4.278, 4.277, 5.920 Å; angles 111.45, 90.00, 120.01 degrees
Element x y z (fractional)
Rh1 0.566 0.131 0.698
Ba1 0.751 0.503 0.253
Cu1 0.935 0.869 0.804
Cu2 0.248 0.496 0.745

***

# 4
Entry from Alexandria via LeMat-Bulk: Ba2CuRh after structural relaxation (GGA-PBEsol).

Computed properties:
- calculated volume (Å³/atom) = 26.94
- ΔH_f (0 K) (eV/atom) = 0.106
- relative energy among the computed polymorphs (meV per atom) = 224.8
- E (eV per atom) = -4.0863
- Fermi-level density of states (states/eV per atom) = 0.403

Cell lengths 3.737, 3.737, 7.719 Å; angles 90.00, 90.00, 90.00 degrees
Element x y z (fractional)
Ba1 0.000 0.000 0.236
Ba2 0.000 0.000 0.764
Cu1 0.500 0.500 0.500
Rh1 0.500 0.500 0.000

***

# 5
Entry from Alexandria via LeMat-Bulk: Ba2CuRh after structural relaxation (GGA-PBEsol).

Computed properties:
- calculated volume (Å³/atom) = 28.77
- ΔH_f (0 K) (eV/atom) = -0.059
- relative energy among the computed polymorphs (meV per atom) = 59.3
- E (eV per atom) = -4.2517
- Fermi-level density of states (states/eV per atom) = 0.348

Cell lengths 4.517, 4.569, 6.026 Å; angles 112.28, 90.00, 90.00 degrees
Element x y z (fractional)
Rh1 0.500 0.671 0.342
Ba1 0.500 0.983 0.966
Ba2 0.000 0.269 0.538
Cu1 0.000 0.578 0.155

***

# 6
Entry from Alexandria via LeMat-Bulk: BaCu2Rh after structural relaxation (GGA-PBEsol).

Computed properties:
- calculated volume (Å³/atom) = 17.95
- ΔH_f (0 K) (eV/atom) = 0.439
- relative energy among the computed polymorphs (meV per atom) = 467.7
- E (eV per atom) = -4.2995
- Fermi-level density of states (states/eV per atom) = 0.384

Cell lengths 4.135, 4.135, 4.200 Å; angles 90.00, 90.00, 90.00 degrees
Element x y z (fractional)
Ba1 0.000 0.000 0.500
Cu1 0.000 0.500 0.000
Cu2 0.500 0.000 0.000
Rh1 0.500 0.500 0.500

***

# 7
Entry from Alexandria via LeMat-Bulk: Ba2CuRh after structural relaxation (GGA-PBEsol).

Computed properties:
- calculated volume (Å³/atom) = 24.20
- ΔH_f (0 K) (eV/atom) = 0.273
- relative energy among the computed polymorphs (meV per atom) = 391.7
- E (eV per atom) = -3.9193
- Fermi-level density of states (states/eV per atom) = 0.345

Cell lengths 5.154, 5.154, 5.154 Å; angles 60.00, 60.00, 60.00 degrees
Element x y z (fractional)
Ba1 0.000 0.000 0.000
Ba2 0.750 0.750 0.750
Cu1 0.500 0.500 0.500
Rh1 0.250 0.250 0.250

***

# 8
Entry from Alexandria via LeMat-Bulk: BaCu2SiRh after structural relaxation (GGA-PBEsol).

Computed properties:
- calculated volume (Å³/atom) = 22.57
- E_form (uncorrected) (eV/atom) = 0.748
- E (eV per atom) = -4.1925
- Fermi-level density of states (states/eV per atom) = 0.947

Cell lengths 4.331, 4.331, 6.017 Å; angles 90.00, 90.00, 90.00 degrees
Element x y z (fractional)
Si1 0.000 0.000 0.000
Rh1 0.500 0.500 0.500
Ba1 0.000 0.000 0.500
Cu1 0.000 0.500 0.000
Cu2 0.500 0.000 0.000

***

Among the records above, which one has the lowest E?
number 3

***

Which value of Fermi-level density of states does entry 3 give?
0.502 states/eV per atom

***

Repeat the seventh record exactly.
Entry from Alexandria via LeMat-Bulk: Ba2CuRh after structural relaxation (GGA-PBEsol).

Computed properties:
- calculated volume (Å³/atom) = 24.20
- ΔH_f (0 K) (eV/atom) = 0.273
- relative energy among the computed polymorphs (meV per atom) = 391.7
- E (eV per atom) = -3.9193
- Fermi-level density of states (states/eV per atom) = 0.345

Cell lengths 5.154, 5.154, 5.154 Å; angles 60.00, 60.00, 60.00 degrees
Element x y z (fractional)
Ba1 0.000 0.000 0.000
Ba2 0.750 0.750 0.750
Cu1 0.500 0.500 0.500
Rh1 0.250 0.250 0.250